MgTaIn2N, relaxed, DFT PBE-GGA; spin magnetization = 0.3 μB/f.u.; SG = P4/mmm (123); uncorrected energy = -3.23 eV/atom
1.0
-5.132 0.516 -0.558
-0.744 -4.104 3.043
-0.140 3.105 4.154
In Ta Mg N
2 1 1 1
Cartesian
-2.566 0.258 -0.279
-0.070 1.553 2.077
-0.372 -2.052 1.521
0.000 0.000 0.000
-3.008 -0.242 3.319